No. 1
LiZnPt2 | meta-GGA SCAN | PBEsol geometry Values from VASP.

Cell and atoms, written as Quantum ESPRESSO input:
```
&SYSTEM
  ibrav = 0, nat = 4, ntyp = 3
/
ATOMIC_SPECIES
Zn 65.41 Zn.upf
Pt 195.08 Pt.upf
Li 6.94 Li.upf
CELL_PARAMETERS angstrom
2.7450 0.0000 0.0000
0.0000 4.4868 0.0150
0.0000 -1.6612 4.4855
ATOMIC_POSITIONS crystal
Zn 0.5000 0.5000 0.0000
Pt 0.0000 0.0000 0.0000
Pt 0.5000 0.0000 0.5000
Li 0.0000 0.5000 0.5000
```

For the formation energy, the calculation gives -2.32 eV per formula unit.


No. 2
TaBeSe2 | meta-GGA SCAN | PBEsol geometry Values from VASP.

Cell and atoms, written as Quantum ESPRESSO input:
```
&SYSTEM
  ibrav = 0, nat = 8, ntyp = 3
/
ATOMIC_SPECIES
Be 9.01 Be.upf
Se 78.96 Se.upf
Ta 180.95 Ta.upf
CELL_PARAMETERS angstrom
-3.8499 -4.0808 0.8607
4.1076 1.0499 4.6366
-1.9310 2.7823 4.5547
ATOMIC_POSITIONS crystal
Be 0.2500 0.5000 0.2500
Be 0.5000 0.0000 0.5000
Se 0.1760 0.7500 0.8750
Se 0.5740 0.7500 0.3750
Se 0.3750 0.2500 0.1760
Se 0.8750 0.2500 0.5740
Ta 0.7500 0.5000 0.7500
Ta 0.0000 0.0000 0.0000
```

Its uncorrected formation energy is -0.27 eV per formula unit.


No. 3
LiRe2Br | meta-GGA SCAN | PBEsol geometry Values from VASP.

Cell and atoms, written as Quantum ESPRESSO input:
```
&SYSTEM
  ibrav = 0, nat = 4, ntyp = 3
/
ATOMIC_SPECIES
Br 79.90 Br.upf
Li 6.94 Li.upf
Re 186.21 Re.upf
CELL_PARAMETERS angstrom
-0.6913 1.3418 -2.2742
-0.1206 -2.7268 0.0167
-9.1831 0.4246 3.0420
ATOMIC_POSITIONS crystal
Br 0.5000 0.5000 0.5000
Li 0.5000 0.5000 0.0000
Re 0.0000 0.0000 0.2430
Re 0.0000 0.0000 0.7570
```

Its uncorrected formation energy is 4.71 eV per formula unit.


No. 4
CaMg3Mn | meta-GGA SCAN | PBEsol geometry Values from VASP.

Cell and atoms, written as Quantum ESPRESSO input:
```
&SYSTEM
  ibrav = 0, nat = 5, ntyp = 3
/
ATOMIC_SPECIES
Ca 40.08 Ca.upf
Mn 54.94 Mn.upf
Mg 24.30 Mg.upf
CELL_PARAMETERS angstrom
5.0477 0.0000 0.0000
0.0000 5.0477 0.0000
0.0000 0.0000 5.0477
ATOMIC_POSITIONS crystal
Ca 0.5000 0.5000 0.5000
Mn 0.0000 0.0000 0.0000
Mg 0.0000 0.5000 0.0000
Mg 0.0000 0.0000 0.5000
Mg 0.5000 0.0000 0.0000
```

For the formation energy, the calculation gives 1.30 eV per formula unit.


No. 5
Al3AsCl | meta-GGA SCAN | PBEsol geometry Values from VASP.

Cell and atoms, written as Quantum ESPRESSO input:
```
&SYSTEM
  ibrav = 0, nat = 5, ntyp = 3
/
ATOMIC_SPECIES
As 74.92 As.upf
Al 26.98 Al.upf
Cl 35.45 Cl.upf
CELL_PARAMETERS angstrom
4.8470 0.0000 0.0000
0.0000 4.8470 0.0000
0.0000 0.0000 4.8470
ATOMIC_POSITIONS crystal
As 0.5000 0.5000 0.5000
Al 0.0000 0.5000 0.0000
Al 0.0000 0.0000 0.5000
Al 0.5000 0.0000 0.0000
Cl 0.0000 0.0000 0.0000
```

Its uncorrected formation energy is 4.03 eV per formula unit.


No. 6
TeIr2Au | meta-GGA SCAN | PBEsol geometry Values from VASP.

Cell and atoms, written as Quantum ESPRESSO input:
```
&SYSTEM
  ibrav = 0, nat = 4, ntyp = 3
/
ATOMIC_SPECIES
Au 196.97 Au.upf
Ir 192.22 Ir.upf
Te 127.60 Te.upf
CELL_PARAMETERS angstrom
-3.7365 0.9094 -1.3443
1.3390 -0.1794 -3.8433
0.2901 -4.2950 2.4607
ATOMIC_POSITIONS crystal
Au 0.2500 0.7500 0.5000
Ir 0.0000 0.0000 0.0000
Ir 0.7500 0.2500 0.5000
Te 0.5000 0.5000 0.0000
```

Its uncorrected formation energy is 2.81 eV per formula unit.